Entry 1:
The following is a PBE-GGA calculation of CrOsCl2 after structural relaxation, from the Alexandria database.

Cell lengths 2.9446, 2.9446, 9.4388 Å; angles 90.00, 90.00, 90.00 degrees
With the nearest neighbours (Å) after each atom.
Element x y z (fractional)
Cr  0.5000  0.5000  0.2500  8 Cl 2.60
Os  0.5000  0.5000  0.7500  4 Os 2.94
Cl  0.0000  0.0000  0.0849  4 Cr 2.60
Cl  0.0000  0.0000  0.4151  4 Cr 2.60

Values from the calculation:
Space group   P4/mmm (123)
Formation energy from raw total energies   0.938 eV/atom
Electronic total energy   -5.1983 eV/atom
Distance to the lowest polymorph of the same formula   1006.5 meV/atom

Entry 2:
The following is a PBE-GGA calculation of CrOs2Cl after structural relaxation, from the Alexandria database.

Cell lengths 2.7860, 4.6413, 4.5515 Å; angles 90.00, 90.00, 90.00 degrees
With the nearest neighbours (Å) after each atom.
Element x y z (fractional)
Cr  0.0000  0.5000  0.5000  4 Os 2.67, 4 Cl 2.71, 2 Cr 2.79
Os  0.0000  0.0000  0.0000  4 Cl 2.67, 6 Os 2.71-2.79
Os  0.5000  0.5000  0.0000  4 Cr 2.67, 6 Os 2.71-2.79
Cl  0.5000  0.0000  0.5000  4 Os 2.67, 4 Cr 2.71, 2 Cl 2.79

Values from the calculation:
Space group   Pmmm (47)
Formation energy from raw total energies   0.945 eV/atom
Electronic total energy   -7.5371 eV/atom
Distance to the lowest polymorph of the same formula   459.0 meV/atom

Entry 3:
The following is a PBE-GGA calculation of CrOs2Cl after structural relaxation, from the Alexandria database.

Cell lengths 2.7880, 2.7880, 9.7607 Å; angles 90.00, 90.00, 119.85 degrees
With the nearest neighbours (Å) after each atom.
Element x y z (fractional)
Cr  0.5000  0.5000  0.7533  2 Cl 2.29
Os  0.0000  0.0000  0.9773  2 Cr 2.59, 8 Os 2.61-2.79
Os  0.5000  0.5000  0.2026  8 Os 2.61-2.79
Cl  0.0000  0.0000  0.5669  2 Cr 2.29

Values from the calculation:
Space group   Cmm2 (35)
Formation energy from raw total energies   0.678 eV/atom
Electronic total energy   -7.8047 eV/atom
Distance to the lowest polymorph of the same formula   191.4 meV/atom

Entry 4:
The following is a PBE-GGA calculation of CrOs2Cl after structural relaxation, from the Alexandria database.

Cell lengths 3.5348, 2.8491, 7.2309 Å; angles 66.79, 90.00, 90.00 degrees
With the nearest neighbours (Å) after each atom.
Element x y z (fractional)
Cr  0.5000  0.8365  0.7888  2 Cl 2.57, 5 Os 2.67-2.72, 2 Cr 2.85
Os  0.0000  0.1121  0.0128  6 Os 2.56-2.85, 4 Cr 2.71-2.72
Os  0.5000  0.4347  0.1903  6 Os 2.56-2.85, 1 Cr 2.67, 2 Cl 2.75
Cl  0.0000  0.1168  0.5082  2 Cr 2.57, 2 Os 2.75, 2 Cl 2.85

Values from the calculation:
Space group   Pmm2 (25)
Formation energy from raw total energies   0.534 eV/atom
Electronic total energy   -7.9486 eV/atom
Distance to the lowest polymorph of the same formula   47.5 meV/atom

Copy entry 3 word for word.
The following is a PBE-GGA calculation of CrOs2Cl after structural relaxation, from the Alexandria database.

Cell lengths 2.7880, 2.7880, 9.7607 Å; angles 90.00, 90.00, 119.85 degrees
With the nearest neighbours (Å) after each atom.
Element x y z (fractional)
Cr  0.5000  0.5000  0.7533  2 Cl 2.29
Os  0.0000  0.0000  0.9773  2 Cr 2.59, 8 Os 2.61-2.79
Os  0.5000  0.5000  0.2026  8 Os 2.61-2.79
Cl  0.0000  0.0000  0.5669  2 Cr 2.29

Values from the calculation:
Space group   Cmm2 (35)
Formation energy from raw total energies   0.678 eV/atom
Electronic total energy   -7.8047 eV/atom
Distance to the lowest polymorph of the same formula   191.4 meV/atom

Q: Number 1 is which compound?
A: CrOsCl2

Q: Look up the formation energy from raw total energies of the first one.
A: 0.938 eV/atom